*one*
TiCuTc2, optimized geometry, DFT GGA-PBE; space group = No. 122; theoretical density = 8.3 g/cm3
1.0
6.8969 0.0000 0.0000
0.0000 6.8969 0.0000
0.0000 0.0000 5.1618
Ti Cu Tc
4 4 8
Direct
0.0000 0.0000 0.0000
0.0000 0.5000 0.2500
0.5000 0.0000 0.7500
0.5000 0.5000 0.5000
0.0000 0.0000 0.5000
0.0000 0.5000 0.7500
0.5000 0.0000 0.2500
0.5000 0.5000 0.0000
0.2441 0.2500 0.6250
0.2500 0.7441 0.8750
0.2500 0.7559 0.3750
0.2559 0.2500 0.1250
0.7441 0.7500 0.1250
0.7500 0.2441 0.3750
0.7500 0.2559 0.8750
0.7559 0.7500 0.6250

*two*
TiCuTc2, optimized geometry, DFT GGA-PBE; space group = No. 225; theoretical density = 9.0 g/cm3
1.0
6.1097 0.0000 0.0000
0.0000 6.1097 0.0000
0.0000 0.0000 6.1097
Ti Cu Tc
4 4 8
Direct
0.0000 0.0000 0.0000
0.0000 0.5000 0.5000
0.5000 0.0000 0.5000
0.5000 0.5000 0.0000
0.0000 0.0000 0.5000
0.0000 0.5000 0.0000
0.5000 0.0000 0.0000
0.5000 0.5000 0.5000
0.2500 0.2500 0.2500
0.2500 0.2500 0.7500
0.2500 0.7500 0.2500
0.2500 0.7500 0.7500
0.7500 0.2500 0.2500
0.7500 0.2500 0.7500
0.7500 0.7500 0.2500
0.7500 0.7500 0.7500

The data favor *two*; the next most stable structure lies 424 meV per atom above it.

*one*
TlCu2Tc, optimized geometry, DFT GGA-PBE; space group = No. 166; theoretical density = 10.9 g/cm3
1.0
2.8971 0.0000 0.0000
-1.4486 2.5090 0.0000
0.0000 0.0000 26.9434
Tl Cu Tc
3 6 3
Direct
0.0000 0.0000 0.0000
0.3333 0.6667 0.6667
0.6667 0.3333 0.3333
0.0000 0.0000 0.2427
0.0000 0.0000 0.7573
0.3333 0.6667 0.4239
0.3333 0.6667 0.9094
0.6667 0.3333 0.0906
0.6667 0.3333 0.5761
0.0000 0.0000 0.5000
0.3333 0.6667 0.1667
0.6667 0.3333 0.8333

*two*
TlCu2Tc, optimized geometry, DFT GGA-PBE; space group = No. 99; theoretical density = 11.4 g/cm3
1.0
2.9777 0.0000 0.0000
0.0000 2.9777 0.0000
0.0000 0.0000 7.0444
Tl Cu Tc
1 2 1
Direct
0.0000 0.0000 0.0000
0.0000 0.0000 0.4784
0.5000 0.5000 0.2867
0.5000 0.5000 0.6966

The data favor *two*; the next most stable structure lies 138 meV per atom above it.

*one*
TlCu2Tc, optimized geometry, DFT GGA-PBE; space group = No. 71; theoretical density = 11.1 g/cm3
1.0
2.9166 0.0000 0.0000
0.0000 4.6989 0.0000
0.0000 0.0000 9.3738
Tl Cu Tc
2 4 2
Direct
0.0000 0.0000 0.0000
0.5000 0.5000 0.5000
0.0000 0.5000 0.2372
0.0000 0.5000 0.7628
0.5000 0.0000 0.2628
0.5000 0.0000 0.7372
0.0000 0.0000 0.5000
0.5000 0.5000 0.0000

*two*
TlCu2Tc, optimized geometry, DFT GGA-PBE; space group = No. 12; theoretical density = 11.1 g/cm3
1.0
9.1555 0.0000 0.0000
0.0000 2.8477 0.0000
-0.8162 0.0000 4.9364
Tl Cu Tc
2 4 2
Direct
0.0000 0.0000 0.0000
0.5000 0.5000 0.0000
0.2403 0.0000 0.7028
0.2597 0.5000 0.2972
0.7403 0.5000 0.7028
0.7597 0.0000 0.2972
0.0000 0.5000 0.5000
0.5000 0.0000 0.5000

The data favor *two*; the next most stable structure lies 57 meV per atom above it.

*one*
TlCu2Tc, optimized geometry, DFT GGA-PBE; space group = No. 216; theoretical density = 11.3 g/cm3
1.0
6.3199 0.0000 0.0000
0.0000 6.3199 0.0000
0.0000 0.0000 6.3199
Tl Cu Tc
4 8 4
Direct
0.0000 0.0000 0.0000
0.0000 0.5000 0.5000
0.5000 0.0000 0.5000
0.5000 0.5000 0.0000
0.0000 0.0000 0.5000
0.0000 0.5000 0.0000
0.2500 0.2500 0.2500
0.2500 0.7500 0.7500
0.5000 0.0000 0.0000
0.5000 0.5000 0.5000
0.7500 0.2500 0.7500
0.7500 0.7500 0.2500
0.2500 0.2500 0.7500
0.2500 0.7500 0.2500
0.7500 0.2500 0.2500
0.7500 0.7500 0.7500

*two*
TlCu2Tc, optimized geometry, DFT GGA-PBE; space group = No. 122; theoretical density = 10.1 g/cm3
1.0
3.8917 0.0000 0.0000
0.0000 3.8917 0.0000
0.0000 0.0000 18.6318
Tl Cu Tc
4 8 4
Direct
0.0000 0.0000 0.0000
0.0000 0.5000 0.2500
0.5000 0.0000 0.7500
0.5000 0.5000 0.5000
0.2091 0.2500 0.6250
0.2500 0.7091 0.8750
0.2500 0.7909 0.3750
0.2909 0.2500 0.1250
0.7091 0.7500 0.1250
0.7500 0.2091 0.3750
0.7500 0.2909 0.8750
0.7909 0.7500 0.6250
0.0000 0.0000 0.5000
0.0000 0.5000 0.7500
0.5000 0.0000 0.2500
0.5000 0.5000 0.0000

The data favor *one*; the next most stable structure lies 201 meV per atom above it.

*one*
TlCu2Tc, optimized geometry, DFT GGA-PBE; space group = No. 139; theoretical density = 11.4 g/cm3
1.0
4.0799 0.0000 0.0000
0.0000 4.0799 0.0000
0.0000 0.0000 7.5161
Tl Cu Tc
2 4 2
Direct
0.0000 0.0000 0.0000
0.5000 0.5000 0.5000
0.0000 0.5000 0.2500
0.0000 0.5000 0.7500
0.5000 0.0000 0.2500
0.5000 0.0000 0.7500
0.0000 0.0000 0.5000
0.5000 0.5000 0.0000

*two*
TlCu2Tc, optimized geometry, DFT GGA-PBE; space group = No. 10; theoretical density = 11.3 g/cm3
1.0
2.8401 0.0000 0.0000
0.0000 3.8579 0.0000
-0.0094 0.0000 5.7664
Tl Cu Tc
1 2 1
Direct
0.0000 0.0000 0.0000
0.4982 0.5000 0.2869
0.5018 0.5000 0.7131
0.0000 0.0000 0.5000

*three*
TlCu2Tc, optimized geometry, DFT GGA-PBE; space group = No. 123; theoretical density = 11.6 g/cm3
1.0
3.9918 0.0000 0.0000
0.0000 3.9918 0.0000
0.0000 0.0000 3.8581
Tl Cu Tc
1 2 1
Direct
0.0000 0.0000 0.0000
0.0000 0.5000 0.5000
0.5000 0.0000 0.5000
0.5000 0.5000 0.0000

The data favor *three*; the next most stable structure lies 34 meV per atom above it.

*one*
TlCuTc2, optimized geometry, DFT GGA-PBE; space group = No. 216; theoretical density = 12.1 g/cm3
1.0
6.3442 0.0000 0.0000
0.0000 6.3442 0.0000
0.0000 0.0000 6.3442
Tl Cu Tc
4 4 8
Direct
0.0000 0.0000 0.0000
0.0000 0.5000 0.5000
0.5000 0.0000 0.5000
0.5000 0.5000 0.0000
0.2500 0.2500 0.7500
0.2500 0.7500 0.2500
0.7500 0.2500 0.2500
0.7500 0.7500 0.7500
0.0000 0.0000 0.5000
0.0000 0.5000 0.0000
0.2500 0.2500 0.2500
0.2500 0.7500 0.7500
0.5000 0.0000 0.0000
0.5000 0.5000 0.5000
0.7500 0.2500 0.7500
0.7500 0.7500 0.2500

*two*
TlCuTc2, optimized geometry, DFT GGA-PBE; space group = No. 47; theoretical density = 12.0 g/cm3
1.0
3.2138 0.0000 0.0000
0.0000 4.2946 0.0000
0.0000 0.0000 4.6474
Tl Cu Tc
1 1 2
Direct
0.0000 0.0000 0.0000
0.5000 0.5000 0.0000
0.0000 0.5000 0.5000
0.5000 0.0000 0.5000

The data favor *one*; the next most stable structure lies 31 meV per atom above it.

*one*
TlCuTc2, optimized geometry, DFT GGA-PBE; space group = No. 166; theoretical density = 11.9 g/cm3
1.0
2.8933 0.0000 0.0000
-1.4467 2.5057 0.0000
0.0000 0.0000 26.8122
Tl Cu Tc
3 3 6
Direct
0.0000 0.0000 0.0000
0.3333 0.6667 0.6667
0.6667 0.3333 0.3333
0.0000 0.0000 0.5000
0.3333 0.6667 0.1667
0.6667 0.3333 0.8333
0.0000 0.0000 0.2430
0.0000 0.0000 0.7570
0.3333 0.6667 0.4237
0.3333 0.6667 0.9097
0.6667 0.3333 0.0903
0.6667 0.3333 0.5763

*two*
TlCuTc2, optimized geometry, DFT GGA-PBE; space group = No. 122; theoretical density = 10.9 g/cm3
1.0
3.8016 0.0000 0.0000
0.0000 3.8016 0.0000
0.0000 0.0000 19.6001
Tl Cu Tc
4 4 8
Direct
0.0000 0.0000 0.0000
0.0000 0.5000 0.2500
0.5000 0.0000 0.7500
0.5000 0.5000 0.5000
0.0000 0.0000 0.5000
0.0000 0.5000 0.7500
0.5000 0.0000 0.2500
0.5000 0.5000 0.0000
0.1884 0.2500 0.6250
0.2500 0.6884 0.8750
0.2500 0.8116 0.3750
0.3116 0.2500 0.1250
0.6884 0.7500 0.1250
0.7500 0.1884 0.3750
0.7500 0.3116 0.8750
0.8116 0.7500 0.6250

The data favor *two*; the next most stable structure lies 8 meV per atom above it.

*one*
TlCuTc2, optimized geometry, DFT GGA-PBE; space group = No. 65; theoretical density = 11.9 g/cm3
1.0
5.2219 0.0000 0.0000
0.0000 8.5163 0.0000
0.0000 0.0000 2.9089
Tl Cu Tc
2 2 4
Direct
0.0000 0.0000 0.0000
0.5000 0.5000 0.0000
0.0000 0.5000 0.0000
0.5000 0.0000 0.0000
0.2500 0.2500 0.5000
0.2500 0.7500 0.5000
0.7500 0.2500 0.5000
0.7500 0.7500 0.5000

*two*
TlCuTc2, optimized geometry, DFT GGA-PBE; space group = No. 225; theoretical density = 12.2 g/cm3
1.0
6.3264 0.0000 0.0000
0.0000 6.3264 0.0000
0.0000 0.0000 6.3264
Tl Cu Tc
4 4 8
Direct
0.0000 0.0000 0.0000
0.0000 0.5000 0.5000
0.5000 0.0000 0.5000
0.5000 0.5000 0.0000
0.0000 0.0000 0.5000
0.0000 0.5000 0.0000
0.5000 0.0000 0.0000
0.5000 0.5000 0.5000
0.2500 0.2500 0.2500
0.2500 0.2500 0.7500
0.2500 0.7500 0.2500
0.2500 0.7500 0.7500
0.7500 0.2500 0.2500
0.7500 0.2500 0.7500
0.7500 0.7500 0.2500
0.7500 0.7500 0.7500

The data favor *one*; the next most stable structure lies 39 meV per atom above it.